Li2TaNbS4 | PBE | optimized geometry

Lattice parameters (Å, degrees): 3.358 3.358 12.892 90.00 90.00 120.00
Sites, in units of the cell vectors:
Ta1 0.000 0.000 0.500
S1 0.667 0.333 0.622
S2 0.333 0.667 0.123
Nb1 0.000 0.000 0.000
Li1 0.000 0.000 0.750
Li2 0.000 0.000 0.250
S3 0.667 0.333 0.378
S4 0.333 0.667 0.877

Results
- spin magnetization (μB/cell) = 0.0
- SG = No. 187
- uncorrected energy (eV/atom) = -6.578